{"formula": "PrHg2Au", "functional": "GGA-PBE", "state": "relaxed", "cell": [[-3.048, -0.106, -1.735], [-0.558, -2.482, -2.417], [-5.203, -7.183, 6.033]], "species": ["Pr", "Au", "Hg", "Hg"], "fractional_positions": [[0.000, 0.000, 0.000], [0.500, 0.500, 0.500], [0.099, 0.099, 0.703], [0.901, 0.901, 0.297]], "sg": "R-3m", "dft_energy_ev_per_atom": -2.026, "m_tot_mub_per_fu": 0.00}